1.
This record from the Alexandria database describes a relaxed Pm4IrAuCl2 crystal. The functional is PBE-GGA.

Properties
The calculation puts the formation energy from raw total energies at -1.1424 eV per atom. As for the total energy: -5.4967 eV per atom. The calculation puts the calculated density at 7711 kg/m³.

Cell: 7.317 4.137 7.825 Å, 90.00 108.99 90.00°
Space group P2/m (No. 10)
One atom of each set of equivalent atoms:
Pm: 0.232 0.000 0.210 [2 per cell]
Pm: 0.236 0.500 0.785 [2 per cell]
Ir: 0.000 0.500 0.000 [1 per cell]
Au: 0.500 0.000 0.000 [1 per cell]
Cl: 0.000 0.000 0.500 [1 per cell]
Cl: 0.500 0.500 0.500 [1 per cell]

---

2.
This record from the Alexandria database describes a relaxed Pm3IrAuCl crystal. The functional is PBE-GGA.

Properties
The calculation puts the formation energy from raw total energies at -0.8709 eV per atom. As for the total energy: -5.5770 eV per atom. The calculation puts the calculated density at 8721 kg/m³.

Cell: 8.292 4.273 9.351 Å, 90.00 98.93 90.00°
Space group P2_1/m (No. 11)
One atom of each set of equivalent atoms:
Pm: 0.074 0.250 0.340 [2 per cell]
Pm: 0.209 0.250 0.957 [2 per cell]
Pm: 0.376 0.750 0.614 [2 per cell]
Ir: 0.157 0.250 0.648 [2 per cell]
Au: 0.312 0.750 0.264 [2 per cell]
Cl: 0.411 0.750 0.909 [2 per cell]

---

3.
This record from the Alexandria database describes a relaxed Pr8Ir3AuCl4 crystal. The functional is PBE-GGA.

Properties
The calculation puts the formation energy from raw total energies at -1.1613 eV per atom. As for the total energy: -5.8790 eV per atom. The calculation puts the calculated density at 7305 kg/m³.

Cell: 8.4302 8.4302 22.6336 Å, 90.00 90.00 120.00°
Space group R-3m (No. 166, hexagonal axes)
One atom of each set of equivalent atoms:
Pr: 0.0000 0.0000 0.2351 [6 per cell]
Pr: 0.0138 0.5069 0.7644 [18 per cell]
Ir: 0.0000 0.5000 0.5000 [9 per cell]
Au: 0.0000 0.0000 0.5000 [3 per cell]
Cl: 0.0000 0.0000 0.0000 [3 per cell]
Cl: 0.0000 0.5000 0.0000 [9 per cell]

---

4.
This record from the Alexandria database describes a relaxed Pr6Ir2AuCl3 crystal. The functional is PBE-GGA.

Properties
The calculation puts the formation energy from raw total energies at -1.1618 eV per atom. As for the total energy: -5.7632 eV per atom. The calculation puts the calculated density at 7248 kg/m³.

Cell: 7.314 12.719 7.925 Å, 90.00 107.65 90.00°
Space group C2/m (No. 12)
One atom of each set of equivalent atoms:
Pr: 0.215 0.000 0.208 [4 per cell]
Pr: 0.245 0.324 0.208 [8 per cell]
Ir: 0.000 0.166 0.000 [4 per cell]
Au: 0.000 0.500 0.000 [2 per cell]
Cl: 0.000 0.000 0.500 [2 per cell]
Cl: 0.000 0.326 0.500 [4 per cell]

---

5.
This record from the Alexandria database describes a relaxed Rb2IrAuCl6 crystal. The functional is PBE-GGA.

Properties
The calculation puts the formation energy from raw total energies at -0.9012 eV per atom. As for the total energy: -3.4166 eV per atom. The calculation puts the calculated density at 4705 kg/m³.

Cell: 7.745 7.745 9.094 Å, 90.00 90.00 90.00°
Space group I4/mmm (No. 139)
One atom of each set of equivalent atoms:
Rb: 0.000 0.500 0.250 [4 per cell]
Ir: 0.000 0.000 0.000 [2 per cell]
Au: 0.000 0.000 0.500 [2 per cell]
Cl: 0.000 0.000 0.252 [4 per cell]
Cl: 0.218 0.218 0.000 [8 per cell]

---

6.
This record from the Alexandria database describes a relaxed Ir2RhAuCl crystal. The functional is PBE-GGA.

Properties
The calculation puts the formation energy from raw total energies at 1.5954 eV per atom. As for the total energy: -4.4440 eV per atom. The calculation puts the calculated density at 13301 kg/m³.

Cell: 4.380 4.380 4.683 Å, 90.00 90.00 90.00°
Space group P4/mmm (No. 123)
One atom of each set of equivalent atoms:
Ir: 0.000 0.500 0.000 [2 per cell]
Rh: 0.000 0.000 0.500 [1 per cell]
Au: 0.500 0.500 0.500 [1 per cell]
Cl: 0.500 0.500 0.000 [1 per cell]

---

7.
This record from the Alexandria database describes a relaxed SbIrAuCl2 crystal. The functional is PBE-GGA.

Properties
The calculation puts the formation energy from raw total energies at 0.9772 eV per atom. As for the total energy: -3.0136 eV per atom. The calculation puts the calculated density at 7283 kg/m³.

Cell: 4.658 4.658 6.115 Å, 90.00 90.00 90.00°
Space group P4/mmm (No. 123)
One atom of each set of equivalent atoms:
Sb: 0.000 0.000 0.000 [1 per cell]
Ir: 0.500 0.500 0.000 [1 per cell]
Au: 0.000 0.000 0.500 [1 per cell]
Cl: 0.000 0.500 0.500 [2 per cell]

---

8.
This record from the Alexandria database describes a relaxed ScIrAu2Cl crystal. The functional is PBE-GGA.

Properties
The calculation puts the formation energy from raw total energies at 0.8401 eV per atom. As for the total energy: -3.8786 eV per atom. The calculation puts the calculated density at 10455 kg/m³.

Cell: 4.834 4.834 4.530 Å, 90.00 90.00 90.00°
Space group P4/mmm (No. 123)
One atom of each set of equivalent atoms:
Sc: 0.000 0.000 0.000 [1 per cell]
Ir: 0.500 0.500 0.000 [1 per cell]
Au: 0.000 0.500 0.500 [2 per cell]
Cl: 0.500 0.500 0.500 [1 per cell]

---

9.
This record from the Alexandria database describes a relaxed IrAu2SeCl crystal. The functional is PBE-GGA.

Properties
The calculation puts the formation energy from raw total energies at 0.8482 eV per atom. As for the total energy: -3.3012 eV per atom. The calculation puts the calculated density at 9752 kg/m³.

Cell: 5.035 5.035 4.706 Å, 90.00 90.00 90.00°
Space group P4/mmm (No. 123)
One atom of each set of equivalent atoms:
Ir: 0.000 0.000 0.000 [1 per cell]
Au: 0.000 0.500 0.500 [2 per cell]
Se: 0.000 0.000 0.500 [1 per cell]
Cl: 0.500 0.500 0.000 [1 per cell]

---

10.
This record from the Alexandria database describes a relaxed Sm4IrAuCl2 crystal. The functional is PBE-GGA.

Properties
The calculation puts the formation energy from raw total energies at -1.1415 eV per atom. As for the total energy: -5.4800 eV per atom. The calculation puts the calculated density at 7970 kg/m³.

Cell: 7.293 4.109 7.814 Å, 90.00 109.16 90.00°
Space group P2/m (No. 10)
One atom of each set of equivalent atoms:
Sm: 0.233 0.000 0.209 [2 per cell]
Sm: 0.235 0.500 0.785 [2 per cell]
Ir: 0.000 0.500 0.000 [1 per cell]
Au: 0.500 0.000 0.000 [1 per cell]
Cl: 0.000 0.000 0.500 [1 per cell]
Cl: 0.500 0.500 0.500 [1 per cell]

---

11.
This record from the Alexandria database describes a relaxed Sm6Ir2AuCl3 crystal. The functional is PBE-GGA.

Properties
The calculation puts the formation energy from raw total energies at -1.1767 eV per atom. As for the total energy: -5.7479 eV per atom. The calculation puts the calculated density at 7940 kg/m³.

Cell: 7.165 12.484 7.791 Å, 90.00 107.42 90.00°
Space group C2/m (No. 12)
One atom of each set of equivalent atoms:
Sm: 0.214 0.000 0.207 [4 per cell]
Sm: 0.243 0.324 0.207 [8 per cell]
Ir: 0.000 0.166 0.000 [4 per cell]
Au: 0.000 0.500 0.000 [2 per cell]
Cl: 0.000 0.000 0.500 [2 per cell]
Cl: 0.000 0.324 0.500 [4 per cell]

---

12.
This record from the Alexandria database describes a relaxed K4Au2Cl crystal. The functional is PBE-GGA.

Properties
The calculation puts the formation energy from raw total energies at -0.6437 eV per atom. As for the total energy: -2.4711 eV per atom. The calculation puts the calculated density at 3615 kg/m³.

Cell: 5.643 5.200 9.471 Å, 90.00 104.49 90.00°
Space group P2/m (No. 10)
One atom of each set of equivalent atoms:
K: 0.097 0.000 0.190 [2 per cell]
K: 0.370 0.500 0.672 [2 per cell]
Au: 0.249 0.500 0.997 [2 per cell]
Cl: 0.500 0.000 0.500 [1 per cell]

---

13.
This record from the Alexandria database describes a relaxed K12Au5Cl3 crystal. The functional is PBE-GGA.

Properties
The calculation puts the formation energy from raw total energies at -0.5700 eV per atom. As for the total energy: -2.3248 eV per atom. The calculation puts the calculated density at 2848 kg/m³.

Cell: 19.380 19.380 19.380 Å, 90.00 90.00 90.00°
Space group Ia-3d (No. 230)
One atom of each set of equivalent atoms:
K: 0.026 0.081 0.648 [96 per cell]
Au: 0.000 0.000 0.000 [16 per cell]
Au: 0.000 0.250 0.375 [24 per cell]
Cl: 0.000 0.250 0.125 [24 per cell]

---

14.
This record from the Alexandria database describes a relaxed K2Au2Cl5 crystal. The functional is PBE-GGA.

Properties
The calculation puts the formation energy from raw total energies at -0.9248 eV per atom. As for the total energy: -2.9229 eV per atom. The calculation puts the calculated density at 4131 kg/m³.

Cell: 18.981 7.503 7.332 Å, 90.00 90.00 90.00°
Space group Ima2 (No. 46)
One atom of each set of equivalent atoms:
K: 0.108 0.029 0.000 [8 per cell]
Au: 0.000 0.000 0.529 [4 per cell]
Au: 0.250 0.515 0.893 [4 per cell]
Cl: 0.011 0.744 0.774 [8 per cell]
Cl: 0.139 0.059 0.557 [8 per cell]
Cl: 0.250 0.617 0.581 [4 per cell]

---

15.
This record from the Alexandria database describes a relaxed KAu2Cl4 crystal. The functional is PBE-GGA.

Properties
The calculation puts the formation energy from raw total energies at -0.5168 eV per atom. As for the total energy: -2.6652 eV per atom. The calculation puts the calculated density at 4170 kg/m³.

Cell: 7.915 7.915 7.307 Å, 90.00 90.00 90.00°
Space group I4/m (No. 87)
One atom of each set of equivalent atoms:
K: 0.000 0.000 0.000 [2 per cell]
Au: 0.000 0.500 0.250 [4 per cell]
Cl: 0.142 0.672 0.500 [8 per cell]

---

16.
This record from the Alexandria database describes a relaxed KAu4Cl12 crystal. The functional is PBE-GGA.

Properties
The calculation puts the formation energy from raw total energies at -0.3502 eV per atom. As for the total energy: -2.4894 eV per atom. The calculation puts the calculated density at 4548 kg/m³.

Cell: 9.707 9.707 9.707 Å, 90.00 90.00 90.00°
Space group Im-3 (No. 204)
One atom of each set of equivalent atoms:
K: 0.000 0.000 0.000 [2 per cell]
Au: 0.250 0.250 0.250 [8 per cell]
Cl: 0.000 0.292 0.196 [24 per cell]

---

17.
This record from the Alexandria database describes a relaxed KAuCl3 crystal. The functional is PBE-GGA.

Properties
The calculation puts the formation energy from raw total energies at -0.9290 eV per atom. As for the total energy: -2.9120 eV per atom. The calculation puts the calculated density at 4204 kg/m³.

Cell: 5.133 5.133 5.133 Å, 90.00 90.00 90.00°
Space group Pm-3m (No. 221)
One atom of each set of equivalent atoms:
K: 0.000 0.000 0.000 [1 per cell]
Au: 0.500 0.500 0.500 [1 per cell]
Cl: 0.000 0.500 0.500 [3 per cell]

---

18.
This record from the Alexandria database describes a relaxed KAuCl6 crystal. The functional is PBE-GGA.

Properties
The calculation puts the formation energy from raw total energies at -0.5480 eV per atom. As for the total energy: -2.4798 eV per atom. The calculation puts the calculated density at 3050 kg/m³.

Cell: 6.681 6.711 6.765 Å, 112.04 96.63 113.76°
Space group P-1 (No. 2)
One atom of each set of equivalent atoms:
K: 0.000 0.000 0.000 [1 per cell]
Au: 0.500 0.000 0.500 [1 per cell]
Cl: 0.138 0.673 0.220 [2 per cell]
Cl: 0.305 0.196 0.690 [2 per cell]
Cl: 0.453 0.779 0.708 [2 per cell]

---

19.
This record from the Alexandria database describes a relaxed KAu3Cl crystal. The functional is PBE-GGA.

Properties
The calculation puts the formation energy from raw total energies at 1.1366 eV per atom. As for the total energy: -1.4187 eV per atom. The calculation puts the calculated density at 5832 kg/m³.

Cell: 5.744 5.744 5.744 Å, 90.00 90.00 90.00°
Space group Pm-3m (No. 221)
One atom of each set of equivalent atoms:
K: 0.000 0.000 0.000 [1 per cell]
Au: 0.000 0.000 0.500 [3 per cell]
Cl: 0.500 0.500 0.500 [1 per cell]

---

20.
This record from the Alexandria database describes a relaxed K2Au2Cl7 crystal. The functional is PBE-GGA.

Properties
The calculation puts the formation energy from raw total energies at -0.8436 eV per atom. As for the total energy: -2.8142 eV per atom. The calculation puts the calculated density at 2925 kg/m³.

Cell: 8.645 13.455 7.044 Å, 90.00 93.63 90.00°
Space group C2/m (No. 12)
One atom of each set of equivalent atoms:
K: 0.000 0.201 0.000 [4 per cell]
Au: 0.237 0.500 0.321 [4 per cell]
Cl: 0.000 0.500 0.500 [2 per cell]
Cl: 0.002 0.000 0.241 [4 per cell]
Cl: 0.227 0.327 0.293 [8 per cell]